Entry 1:
Compound: PmV2
Source: the Alexandria database
Functional: PBE-GGA
Structure: optimized geometry

abc: 7.663 7.663 7.663
angles: 90.00 90.00 90.00
Space group Fd-3m (No. 227, origin choice 2)
Inequivalent atoms, fractional coordinates:
Pm: 0.125 0.125 0.125
V: 0.000 0.000 0.500

Values from the calculation:
- crystal system = cubic
- D(E_F) (states/eV/f.u.) = 5.2
- ΔE_f (eV per formula unit) = 1.27

Entry 2:
Compound: Sm2Cu3Hg
Source: the Alexandria database
Functional: PBE-GGA
Structure: optimized geometry

abc: 7.291 9.030 15.343
angles: 90.00 90.00 90.00
Space group Fmmm (No. 69)
Inequivalent atoms, fractional coordinates:
Sm: 0.242 0.000 0.000
Sm: 0.250 0.250 0.250
Cu: 0.000 0.000 0.160
Cu: 0.000 0.241 0.081
Hg: 0.000 0.000 0.334

Values from the calculation:
- crystal system = orthorhombic
- D(E_F) (states/eV/f.u.) = 3.8
- ΔE to the lowest computed polymorph (eV/atom) = 0.000
- ΔE_f (eV per formula unit) = -1.48

Entry 3:
Compound: Ac2NdSmY5
Source: the Alexandria database
Functional: PBE-GGA
Structure: optimized geometry

abc: 5.839 20.240 11.003
angles: 90.00 90.00 90.00
Space group Cmc2_1 (No. 36)
Inequivalent atoms, fractional coordinates:
Ac: 0.000 0.112 0.000
Ac: 0.000 0.116 0.590
Nd: 0.000 0.417 0.729
Sm: 0.000 0.205 0.280
Y: 0.000 0.019 0.296
Y: 0.000 0.285 0.577
Y: 0.000 0.298 0.975
Y: 0.000 0.392 0.291
Y: 0.000 0.480 0.006

Values from the calculation:
- crystal system = orthorhombic
- D(E_F) (states/eV/f.u.) = 13.4
- ΔE_f (eV per formula unit) = 1.36

Entry 4:
Compound: AcCdIn6
Source: the Alexandria database
Functional: PBE-GGA
Structure: optimized geometry

abc: 9.782 10.379 4.428
angles: 90.00 90.00 90.00
Space group Cmmm (No. 65)
Inequivalent atoms, fractional coordinates:
Ac: 0.000 0.000 0.000
Cd: 0.000 0.500 0.000
In: 0.000 0.266 0.500
In: 0.221 0.500 0.500
In: 0.250 0.250 0.000

Values from the calculation:
- crystal system = orthorhombic
- D(E_F) (states/eV/f.u.) = 4.4
- ΔE_f (eV per formula unit) = -1.16

Entry 5:
Compound: Mn2FeRu
Source: the Alexandria database
Functional: PBE-GGA
Structure: optimized geometry

abc: 2.589 3.599 5.130
angles: 90.00 90.00 90.00
Space group Pmmm (No. 47)
Inequivalent atoms, fractional coordinates:
Mn: 0.000 0.000 0.243
Fe: 0.500 0.500 0.000
Ru: 0.500 0.500 0.500

Values from the calculation:
- crystal system = orthorhombic
- D(E_F) (states/eV/f.u.) = 4.6
- ΔE to the lowest computed polymorph (eV/atom) = 0.073
- ΔE_f (eV per formula unit) = 0.35

Entry 6:
Compound: La2TbPrNd4
Source: the Alexandria database
Functional: PBE-GGA
Structure: optimized geometry

abc: 5.206 5.216 10.457
angles: 90.00 90.11 90.00
Space group P2/m (No. 10)
Inequivalent atoms, fractional coordinates:
La: 0.000 0.000 0.000
La: 0.500 0.500 0.500
Tb: 0.000 0.000 0.500
Pr: 0.500 0.500 0.000
Nd: 0.000 0.500 0.252
Nd: 0.499 0.000 0.748

Values from the calculation:
- crystal system = monoclinic
- D(E_F) (states/eV/f.u.) = 13.6
- ΔE_f (eV per formula unit) = 0.14

Entry 7:
Compound: AgOs2N
Source: the Alexandria database
Functional: PBE-GGA
Structure: optimized geometry

abc: 5.122 5.122 10.433
angles: 90.00 90.00 90.00
Space group I-42d (No. 122)
Inequivalent atoms, fractional coordinates:
Ag: 0.000 0.000 0.000
Os: 0.112 0.250 0.625
N: 0.000 0.000 0.500

Values from the calculation:
- raw formation energy (kJ/mol of formula units) = 473
- crystal system = tetragonal
- D(E_F) (states/eV/f.u.) = 2.0

Entry 8:
Compound: Ba3Ac3ScS8
Source: the Alexandria database
Functional: PBE-GGA
Structure: optimized geometry

abc: 8.5820 8.5820 22.0049
angles: 90.00 90.00 120.00
Space group R-3m (No. 166, hexagonal axes)
Inequivalent atoms, fractional coordinates:
Ba: 0.0000 0.5000 0.0000
Ac: 0.0000 0.5000 0.5000
Sc: 0.0000 0.0000 0.5000
S: 0.0000 0.0000 0.2449
S: 0.0323 0.5162 0.2358

Values from the calculation:
- raw formation energy (kJ/mol of formula units) = -2933
- crystal system = trigonal
- D(E_F) (states/eV/f.u.) = 6.1

Entry 9:
Compound: LiLa2ZrN
Source: the Alexandria database
Functional: PBE-GGA
Structure: optimized geometry

abc: 5.281 5.281 4.381
angles: 90.00 90.00 90.00
Space group P4/mmm (No. 123)
Inequivalent atoms, fractional coordinates:
Li: 0.000 0.000 0.000
La: 0.000 0.500 0.500
Zr: 0.500 0.500 0.000
N: 0.500 0.500 0.500

Values from the calculation:
- raw formation energy (kJ/mol of formula units) = -236
- crystal system = tetragonal
- D(E_F) (states/eV/f.u.) = 5.2

Entry 10:
Compound: Ga4Co
Source: the Alexandria database
Functional: PBE-GGA
Structure: optimized geometry

abc: 4.574 4.574 4.574
angles: 90.00 90.00 90.00
Space group Pm-3m (No. 221)
Inequivalent atoms, fractional coordinates:
Ga: 0.000 0.000 0.000
Ga: 0.000 0.500 0.500
Co: 0.500 0.500 0.500

Values from the calculation:
- crystal system = cubic
- D(E_F) (states/eV/f.u.) = 2.1
- ΔE to the lowest computed polymorph (eV/atom) = 0.093
- ΔE_f (eV per formula unit) = -0.20

Entry 11:
Compound: CaMn2Pb
Source: the Alexandria database
Functional: PBE-GGA
Structure: optimized geometry

abc: 5.448 3.283 5.503
angles: 90.00 111.27 90.00
Space group P2/m (No. 10)
Inequivalent atoms, fractional coordinates:
Ca: 0.000 0.000 0.000
Mn: 0.000 0.500 0.500
Mn: 0.500 0.000 0.500
Pb: 0.500 0.500 0.000

Values from the calculation:
- crystal system = monoclinic
- D(E_F) (states/eV/f.u.) = 2.9
- ΔE to the lowest computed polymorph (eV/atom) = 0.353
- ΔE_f (eV per formula unit) = 1.85

Entry 12:
Compound: PuTl3
Source: the Alexandria database
Functional: PBE-GGA
Structure: optimized geometry

abc: 3.297 11.300 6.072
angles: 90.00 90.00 90.00
Space group Imm2 (No. 44)
Inequivalent atoms, fractional coordinates:
Pu: 0.000 0.000 0.000
Tl: 0.000 0.253 0.313
Tl: 0.000 0.500 0.994

Values from the calculation:
- crystal system = orthorhombic
- D(E_F) (states/eV/f.u.) = 9.6
- ΔE_f (eV per formula unit) = 0.07

Entry 13:
Compound: GdPaCoRh
Source: the Alexandria database
Functional: PBE-GGA
Structure: optimized geometry

abc: 6.808 6.808 6.808
angles: 90.00 90.00 90.00
Space group F-43m (No. 216)
Inequivalent atoms, fractional coordinates:
Gd: 0.000 0.000 0.000
Pa: 0.000 0.000 0.500
Co: 0.250 0.250 0.750
Rh: 0.250 0.250 0.250

Values from the calculation:
- crystal system = cubic
- D(E_F) (states/eV/f.u.) = 6.1
- ΔE_f (eV per formula unit) = -1.37

Entry 14:
Compound: Dy7Te2Au2
Source: the Alexandria database
Functional: PBE-GGA
Structure: optimized geometry

abc: 4.049 15.677 9.745
angles: 90.00 90.00 90.00
Space group Imm2 (No. 44)
Inequivalent atoms, fractional coordinates:
Dy: 0.000 0.000 0.000
Dy: 0.000 0.126 0.587
Dy: 0.000 0.317 0.379
Dy: 0.000 0.360 0.740
Te: 0.000 0.000 0.339
Te: 0.000 0.500 0.240
Au: 0.000 0.237 0.077

Values from the calculation:
- raw formation energy (kJ/mol of formula units) = -881
- crystal system = orthorhombic
- D(E_F) (states/eV/f.u.) = 10.5
- ΔE to the lowest computed polymorph (eV/atom) = 0.000

Entry 15:
Compound: Th2ReHg
Source: the Alexandria database
Functional: PBE-GGA
Structure: optimized geometry

abc: 3.3420 3.3420 32.6002
angles: 90.00 90.00 120.00
Space group R-3m (No. 166, hexagonal axes)
Inequivalent atoms, fractional coordinates:
Th: 0.0000 0.0000 0.0799
Re: 0.0000 0.0000 0.0000
Hg: 0.0000 0.0000 0.5000

Values from the calculation:
- crystal system = trigonal
- D(E_F) (states/eV/f.u.) = 6.6
- ΔE to the lowest computed polymorph (eV/atom) = 0.729
- ΔE_f (eV per formula unit) = 2.50

Entry 16:
Compound: RbNaCd
Source: the Alexandria database
Functional: PBE-GGA
Structure: optimized geometry

abc: 4.317 4.317 13.561
angles: 90.00 90.00 90.00
Space group I4mm (No. 107)
Inequivalent atoms, fractional coordinates:
Rb: 0.000 0.000 0.000
Na: 0.000 0.000 0.281
Cd: 0.000 0.000 0.686

Values from the calculation:
- crystal system = tetragonal
- D(E_F) (states/eV/f.u.) = 1.3
- ΔE to the lowest computed polymorph (eV/atom) = 0.026
- ΔE_f (eV per formula unit) = 0.00

Entry 17:
Compound: Np2Te3
Source: the Alexandria database
Functional: PBE-GGA
Structure: optimized geometry

abc: 7.8116 7.8116 21.0451
angles: 90.00 90.00 120.00
Space group R-3c (No. 167, hexagonal axes)
Inequivalent atoms, fractional coordinates:
Np: 0.0000 0.0000 0.1574
Te: 0.0000 0.3121 0.2500

Values from the calculation:
- raw formation energy (kJ/mol of formula units) = -279
- crystal system = trigonal
- D(E_F) (states/eV/f.u.) = 19.1

Entry 18:
Compound: Hf2Ag2Pb
Source: the Alexandria database
Functional: PBE-GGA
Structure: optimized geometry

abc: 4.386 4.386 12.374
angles: 90.00 90.00 90.00
Space group I4/mmm (No. 139)
Inequivalent atoms, fractional coordinates:
Hf: 0.000 0.500 0.250
Ag: 0.000 0.000 0.105
Pb: 0.000 0.000 0.500

Values from the calculation:
- crystal system = tetragonal
- D(E_F) (states/eV/f.u.) = 3.1
- ΔE to the lowest computed polymorph (eV/atom) = 0.179
- ΔE_f (eV per formula unit) = 1.62

Entry 19:
Compound: Na2ZnCu2Pd5
Source: the Alexandria database
Functional: PBE-GGA
Structure: optimized geometry

abc: 10.484 10.484 3.043
angles: 90.00 90.00 90.00
Space group P4/mbm (No. 127)
Inequivalent atoms, fractional coordinates:
Na: 0.175 0.325 0.000
Zn: 0.000 0.000 0.000
Cu: 0.135 0.635 0.000
Pd: 0.000 0.500 0.500
Pd: 0.047 0.807 0.500

Values from the calculation:
- crystal system = tetragonal
- D(E_F) (states/eV/f.u.) = 5.2
- ΔE_f (eV per formula unit) = -1.33

Entry 20:
Compound: PW3
Source: the Alexandria database
Functional: PBE-GGA
Structure: optimized geometry

abc: 3.0119 3.0119 7.8840
angles: 90.00 90.00 120.00
Space group P-6m2 (No. 187)
Inequivalent atoms, fractional coordinates:
P: 0.0000 0.0000 0.0000
W: 0.0000 0.0000 0.5000
W: 0.6667 0.3333 0.2199

Values from the calculation:
- crystal system = hexagonal
- D(E_F) (states/eV/f.u.) = 4.1
- ΔE to the lowest computed polymorph (eV/atom) = 0.203
- ΔE_f (eV per formula unit) = 0.29